Density functional theory data (GGA-PBE) for crystalline HoTaRu2 at its relaxed geometry.

Cell: 3.2160 3.2160 6.8252 Å, 90.00 90.00 90.00°
With the nearest neighbours (Å) after each atom.
Space group P4/mmm (No. 123)
One atom of each set of equivalent atoms:
Ho 0.0000 0.0000 0.0000 [1 per cell]  8 Ru 2.96, 4 Ho 3.22
Ta 0.0000 0.0000 0.5000 [1 per cell]  8 Ru 2.73
Ru 0.5000 0.5000 0.2786 [2 per cell]  4 Ta 2.73, 4 Ho 2.96, 1 Ru 3.02

Properties
Formation energy = -0.4587 eV per atom
Excess energy over the best structure of this formula in the dataset = 0 meV/atom
Density of states at the Fermi level = 2.00 states/eV per cell

=====

Density functional theory data (GGA-PBE) for crystalline PrSm2In4 at its relaxed geometry.

Cell: 15.9219 5.3692 5.3692 Å, 90.00 109.61 90.00°
With the nearest neighbours (Å) after each atom.
Space group C2/m (No. 12)
One atom of each set of equivalent atoms:
Pr 0.0000 0.0000 0.0000 [2 per cell]  8 In 3.22
Sm 0.2448 0.5000 0.7451 [4 per cell]  8 In 3.29-3.38
In 0.1182 0.0000 0.6181 [4 per cell]  2 Pr 3.22, 4 Sm 3.29-3.38, 1 In 3.55
In 0.1182 0.5000 0.1189 [4 per cell]  2 Pr 3.22, 4 Sm 3.29-3.38, 1 In 3.55

Properties
Formation energy = -0.3027 eV per atom
Excess energy over the best structure of this formula in the dataset = 0 meV/atom
Density of states at the Fermi level = 12.10 states/eV per cell

=====

Number 2 is which compound? PrSm2In4

=====

Please write out number 2 again, unchanged.
Density functional theory data (GGA-PBE) for crystalline PrSm2In4 at its relaxed geometry.

Cell: 15.9219 5.3692 5.3692 Å, 90.00 109.61 90.00°
With the nearest neighbours (Å) after each atom.
Space group C2/m (No. 12)
One atom of each set of equivalent atoms:
Pr 0.0000 0.0000 0.0000 [2 per cell]  8 In 3.22
Sm 0.2448 0.5000 0.7451 [4 per cell]  8 In 3.29-3.38
In 0.1182 0.0000 0.6181 [4 per cell]  2 Pr 3.22, 4 Sm 3.29-3.38, 1 In 3.55
In 0.1182 0.5000 0.1189 [4 per cell]  2 Pr 3.22, 4 Sm 3.29-3.38, 1 In 3.55

Properties
Formation energy = -0.3027 eV per atom
Excess energy over the best structure of this formula in the dataset = 0 meV/atom
Density of states at the Fermi level = 12.10 states/eV per cell

=====

Copy entry 1 word for word.
Density functional theory data (GGA-PBE) for crystalline HoTaRu2 at its relaxed geometry.

Cell: 3.2160 3.2160 6.8252 Å, 90.00 90.00 90.00°
With the nearest neighbours (Å) after each atom.
Space group P4/mmm (No. 123)
One atom of each set of equivalent atoms:
Ho 0.0000 0.0000 0.0000 [1 per cell]  8 Ru 2.96, 4 Ho 3.22
Ta 0.0000 0.0000 0.5000 [1 per cell]  8 Ru 2.73
Ru 0.5000 0.5000 0.2786 [2 per cell]  4 Ta 2.73, 4 Ho 2.96, 1 Ru 3.02

Properties
Formation energy = -0.4587 eV per atom
Excess energy over the best structure of this formula in the dataset = 0 meV/atom
Density of states at the Fermi level = 2.00 states/eV per cell

=====

Look up the density of states at the Fermi level of the second one. 12.10 states/eV per cell